(1)
# Na2InH (GGA-PBE, relaxed)
data_Na2InH
_chemical_formula_sum 'Na2 In1 H1'
_symmetry_space_group_name_H-M 'P 4/m m m'
_symmetry_Int_Tables_number 123
_symmetry_space_group_name_Hall '-P 4 2'
_cell_length_a 3.1234
_cell_length_b 3.1234
_cell_length_c 8.2171
_cell_angle_alpha 90.00
_cell_angle_beta 90.00
_cell_angle_gamma 90.00
loop_
_atom_site_label
_atom_site_type_symbol
_atom_site_fract_x
_atom_site_fract_y
_atom_site_fract_z
Na1 Na 0.0000 0.0000 0.1796
In1 In 0.5000 0.5000 0.5000
H1 H 0.5000 0.5000 0.0000
# Calculated density (g/cm3): 3.352
# E_tot (eV per cell): -8.87

***

(2)
# NaInH4 (GGA-PBE, relaxed)
data_NaInH4
_chemical_formula_sum 'Na4 In4 H16'
_symmetry_space_group_name_H-M 'P 1 21/c 1'
_symmetry_Int_Tables_number 14
_cell_length_a 6.8469
_cell_length_b 7.2309
_cell_length_c 8.3698
_cell_angle_alpha 90.00
_cell_angle_beta 127.65
_cell_angle_gamma 90.00
loop_
_symmetry_equiv_pos_as_xyz
'x,y,z'
'-x,-y,-z'
'-x,y+1/2,-z+1/2'
'x,-y+1/2,z+1/2'
loop_
_atom_site_label
_atom_site_type_symbol
_atom_site_fract_x
_atom_site_fract_y
_atom_site_fract_z
Na1 Na 0.1828 0.1433 0.4081
In1 In 0.3126 0.6622 0.6154
H1 H 0.1137 0.6405 0.0177
H2 H 0.1713 0.0079 0.9221
H3 H 0.3437 0.5938 0.8351
H4 H 0.3785 0.2131 0.7841
# Calculated density (g/cm3): 2.871
# E_tot (eV per cell): -69.20

***

(3)
# Na3In5H12 (GGA-PBE, relaxed)
data_Na3In5H12
_chemical_formula_sum 'Na24 In40 H96'
_symmetry_space_group_name_H-M 'I a -3 d'
_symmetry_Int_Tables_number 230
_symmetry_space_group_name_Hall '-I 4bd 2c 3'
_cell_length_a 13.5659
_cell_length_b 13.5659
_cell_length_c 13.5659
_cell_angle_alpha 90.00
_cell_angle_beta 90.00
_cell_angle_gamma 90.00
loop_
_atom_site_label
_atom_site_type_symbol
_atom_site_fract_x
_atom_site_fract_y
_atom_site_fract_z
Na1 Na 0.0000 0.2500 0.1250
In1 In 0.0000 0.0000 0.0000
In2 In 0.0000 0.2500 0.3750
H1 H 0.0396 0.0678 0.6701
# Calculated density (g/cm3): 3.486
# E_tot (eV per cell): -432.40